VASP calculation (GGA+U) on a relaxed structure of VRhO3.

The structure in POSCAR format:
```
VRhO3
1.0
3.802 0.000 0.000
0.000 3.802 0.000
0.000 0.000 3.802
V Rh O
1 1 3
Direct
0.000 0.000 0.000
0.500 0.500 0.500
0.000 0.000 0.500
0.000 0.500 0.000
0.500 0.000 0.000
```

Results
Symmetry   Pm-3m, No. 221
Total DFT energy (no corrections)   -6.67 eV per atom
Density   6100 kg/m³